No. 1
Below is a geometry-optimized CaTl12Hg6 structure, with properties calculated at the GGA-PBE level.

Properties
**E_form**: -0.042 eV per atom
**DOS(E_F)**: 0.575 states/eV/atom
**Excess energy over the best structure of this formula in the dataset**: 0 meV/atom

Cell lengths 9.084, 9.084, 9.084 Å; angles 110.48, 110.48, 110.48 degrees
Sites, in units of the cell vectors:
Hg1 0.193 0.305 0.447
Tl1 0.392 0.100 0.603
Tl2 0.904 0.843 0.272
Tl3 0.843 0.272 0.904
Hg2 0.695 0.553 0.807
Hg3 0.447 0.193 0.305
Hg4 0.553 0.807 0.695
Tl4 0.157 0.728 0.096
Tl5 0.603 0.392 0.100
Tl6 0.397 0.608 0.900
Tl7 0.100 0.603 0.392
Tl8 0.900 0.397 0.608
Ca1 0.000 0.000 0.000
Tl9 0.272 0.904 0.843
Tl10 0.608 0.900 0.397
Hg5 0.305 0.447 0.193
Hg6 0.807 0.695 0.553
Tl11 0.096 0.157 0.728
Tl12 0.728 0.096 0.157

No. 2
Below is a geometry-optimized Ba4Pa3ClO12 structure, with properties calculated at the GGA-PBE level.

Properties
**Formation energy from raw total energies**: -57.4 eV/f.u.
**DOS(E_F)**: 0.176 states/eV/atom

Cell lengths 7.860, 7.860, 7.860 Å; angles 109.47, 109.47, 109.47 degrees
Last column: magnetic moment on the atom in μB.
Sites, in units of the cell vectors:
O1 0.000 0.720 0.720  0.12
O2 0.500 0.750 0.250  0.01
Pa1 0.000 0.500 0.500  0.17
O3 0.280 0.280 0.000  0.12
Ba1 0.500 0.000 0.000  0.00
Ba2 0.000 0.000 0.500  0.00
O4 0.250 0.500 0.750  0.01
O5 0.720 0.720 0.000  0.12
Cl1 0.000 0.000 0.000  0.70
O6 0.000 0.280 0.280  0.12
Pa2 0.500 0.000 0.500  0.17
Ba3 0.000 0.500 0.000  0.00
O7 0.750 0.250 0.500  0.01
Ba4 0.500 0.500 0.500  0.00
Pa3 0.500 0.500 0.000  0.17
O8 0.280 0.000 0.280  0.12
O9 0.250 0.750 0.500  0.01
O10 0.500 0.250 0.750  0.01
O11 0.720 0.000 0.720  0.12
O12 0.750 0.500 0.250  0.01

No. 3
Below is a geometry-optimized LiErTm2Pd4 structure, with properties calculated at the GGA-PBE level.

Properties
**E_form**: -0.833 eV per atom
**DOS(E_F)**: 0.506 states/eV/atom

Cell lengths 4.825, 4.825, 8.236 Å; angles 72.97, 72.97, 60.00 degrees
Sites, in units of the cell vectors:
Li1 0.500 0.500 0.500
Tm1 0.243 0.243 0.271
Er1 0.000 0.000 0.000
Pd1 0.625 0.625 0.124
Pd2 0.375 0.375 0.876
Tm2 0.757 0.757 0.729
Pd3 0.878 0.878 0.365
Pd4 0.122 0.122 0.635

No. 4
Below is a geometry-optimized La2AuO2 structure, with properties calculated at the GGA-PBE level.

Properties
**Formation energy from raw total energies**: -12.9 eV/f.u.
**DOS(E_F)**: 0.411 states/eV/atom

Cell lengths 4.100, 4.100, 7.049 Å; angles 73.09, 73.09, 90.00 degrees
Sites, in units of the cell vectors:
Au1 0.000 0.000 0.000
La1 0.344 0.344 0.312
La2 0.656 0.656 0.688
O1 0.250 0.750 0.500
O2 0.750 0.250 0.500

No. 5
Below is a geometry-optimized Li4InSb structure, with properties calculated at the GGA-PBE level.

Properties
**Formation energy from raw total energies**: -1.0 eV/f.u.
**DOS(E_F)**: 0.428 states/eV/atom
**Excess energy over the best structure of this formula in the dataset**: 225 meV/atom

Cell lengths 5.495, 5.495, 5.495 Å; angles 60.00, 60.00, 60.00 degrees
Sites, in units of the cell vectors:
Li1 0.875 0.375 0.375
Li2 0.375 0.375 0.875
Sb1 0.750 0.750 0.750
Li3 0.375 0.875 0.375
Li4 0.375 0.375 0.375
In1 0.000 0.000 0.000

No. 6
Below is a geometry-optimized CsSi2Rh2 structure, with properties calculated at the GGA-PBE level.

Properties
**Formation energy from raw total energies**: -2.6 eV/f.u.
**DOS(E_F)**: 0.360 states/eV/atom
**Excess energy over the best structure of this formula in the dataset**: 0 meV/atom

Cell lengths 4.142, 4.142, 7.758 Å; angles 74.52, 74.52, 90.00 degrees
Sites, in units of the cell vectors:
Cs1 0.000 0.000 0.000
Si1 0.328 0.328 0.345
Si2 0.672 0.672 0.655
Rh1 0.750 0.250 0.500
Rh2 0.250 0.750 0.500

No. 7
Below is a geometry-optimized AlCdMo2 structure, with properties calculated at the GGA-PBE level.

Properties
**E_form**: 0.201 eV per atom
**DOS(E_F)**: 0.629 states/eV/atom
**Excess energy over the best structure of this formula in the dataset**: 100 meV/atom

Cell lengths 5.191, 5.191, 5.191 Å; angles 142.16, 127.29, 66.70 degrees
Sites, in units of the cell vectors:
Mo1 0.241 0.741 0.500
Cd1 0.748 0.248 0.500
Mo2 0.019 0.019 0.000
Al1 0.493 0.493 0.000

No. 8
Below is a geometry-optimized Sn6IrPt structure, with properties calculated at the GGA-PBE level.

Properties
**E_form**: -0.048 eV per atom
**DOS(E_F)**: 0.519 states/eV/atom
**Excess energy over the best structure of this formula in the dataset**: 126 meV/atom

Cell lengths 6.326, 6.296, 6.389 Å; angles 60.48, 77.07, 62.99 degrees
Sites, in units of the cell vectors:
Ir1 0.000 0.000 0.000
Pt1 0.500 0.500 0.000
Sn1 0.753 0.445 0.605
Sn2 0.755 0.750 0.000
Sn3 0.247 0.951 0.605
Sn4 0.245 0.250 0.000
Sn5 0.753 0.049 0.395
Sn6 0.247 0.555 0.395

No. 9
Below is a geometry-optimized SrZrTl2 structure, with properties calculated at the GGA-PBE level.

Properties
**E_form**: 0.012 eV per atom
**DOS(E_F)**: 0.881 states/eV/atom

Cell lengths 5.638, 5.638, 5.638 Å; angles 127.05, 126.98, 78.22 degrees
Last column: magnetic moment on the atom in μB.
Sites, in units of the cell vectors:
Sr1 0.250 0.750 0.500  0.05
Zr1 0.750 0.250 0.500  0.48
Tl1 0.000 0.000 0.000  -0.01
Tl2 0.500 0.500 0.000  -0.01

No. 10
Below is a geometry-optimized CrSiAg structure, with properties calculated at the GGA-PBE level.

Properties
**Formation energy from raw total energies**: 1.1 eV/f.u.
**DOS(E_F)**: 0.660 states/eV/atom
**Excess energy over the best structure of this formula in the dataset**: 93 meV/atom

Cell lengths 6.568, 6.431, 2.693 Å; angles 80.91, 75.21, 23.89 degrees
Last column: magnetic moment on the atom in μB.
Sites, in units of the cell vectors:
Si1 0.682 0.682 0.318  -0.03
Cr1 0.318 0.318 0.682  1.05
Ag1 0.000 0.000 0.000  -0.01

No. 11
Below is a geometry-optimized Nd4Er5Tm structure, with properties calculated at the GGA-PBE level.

Properties
**E_form**: 0.193 eV per atom
**DOS(E_F)**: 1.337 states/eV/atom
**Excess energy over the best structure of this formula in the dataset**: 0 meV/atom

Cell lengths 3.517, 11.237, 8.714 Å; angles 89.96, 101.55, 90.00 degrees
Sites, in units of the cell vectors:
Er1 0.172 0.951 0.346
Er2 0.828 0.049 0.654
Er3 0.827 0.451 0.654
Nd1 0.969 0.250 0.936
Nd2 0.031 0.750 0.064
Tm1 0.500 0.000 0.000
Nd3 0.344 0.750 0.683
Er4 0.500 0.500 0.000
Nd4 0.656 0.250 0.317
Er5 0.173 0.549 0.346

No. 12
Below is a geometry-optimized V2MoOs structure, with properties calculated at the GGA-PBE level.

Properties
**E_form**: -0.308 eV per atom
**DOS(E_F)**: 0.765 states/eV/atom
**Excess energy over the best structure of this formula in the dataset**: 0 meV/atom

Cell lengths 4.303, 4.303, 4.303 Å; angles 60.00, 60.00, 60.00 degrees
Sites, in units of the cell vectors:
V1 0.750 0.750 0.750
Os1 0.500 0.500 0.500
V2 0.250 0.250 0.250
Mo1 0.000 0.000 0.000

No. 13
Below is a geometry-optimized CsOsO2 structure, with properties calculated at the GGA-PBE level.

Properties
**Formation energy from raw total energies**: -1.7 eV/f.u.
**DOS(E_F)**: 0.695 states/eV/atom

Cell lengths 6.941, 6.941, 6.941 Å; angles 28.73, 28.73, 28.73 degrees
Sites, in units of the cell vectors:
Cs1 0.000 0.000 0.000
Os1 0.500 0.500 0.500
O1 0.135 0.135 0.135
O2 0.865 0.865 0.865

No. 14
Below is a geometry-optimized Tb5Er12Al2 structure, with properties calculated at the GGA-PBE level.

Properties
**E_form**: 0.016 eV per atom
**DOS(E_F)**: 1.379 states/eV/atom

Cell lengths 9.245, 8.814, 8.180 Å; angles 92.00, 90.00, 121.63 degrees
Sites, in units of the cell vectors:
Er1 0.553 0.106 0.322
Al1 0.671 0.000 0.000
Er2 0.672 0.715 0.772
Er3 0.957 0.285 0.228
Tb1 0.767 0.535 0.428
Er4 0.431 0.253 0.674
Er5 0.447 0.894 0.678
Tb2 0.000 0.000 0.500
Er6 0.923 0.845 0.122
Er7 0.077 0.155 0.878
Er8 0.822 0.253 0.674
Tb3 0.233 0.465 0.572
Al2 0.329 0.000 0.000
Er9 0.569 0.747 0.326
Tb4 0.309 0.618 0.986
Tb5 0.691 0.382 0.014
Er10 0.178 0.747 0.326
Er11 0.043 0.715 0.772
Er12 0.328 0.285 0.228

No. 15
Below is a geometry-optimized HfTaTeH2 structure, with properties calculated at the GGA-PBE level.

Properties
**DOS(E_F)**: 0.675 states/eV/atom
**Total DFT energy (no corrections)**: -5.283 eV/atom

Cell lengths 3.891, 6.110, 3.891 Å; angles 90.00, 90.00, 90.00 degrees
Last column: magnetic moment on the atom in μB.
Sites, in units of the cell vectors:
Hf1 0.000 0.500 0.000  0.05
Ta1 0.500 0.500 0.500  0.51
Te1 0.000 0.000 0.000  0.00
H1 0.500 0.000 0.000  0.01
H2 0.000 0.000 0.500  0.00

No. 16
Below is a geometry-optimized Nd5Ir2Pt structure, with properties calculated at the GGA-PBE level.

Properties
**E_form**: -0.688 eV per atom
**DOS(E_F)**: 1.016 states/eV/atom

Cell lengths 7.772, 7.772, 8.871 Å; angles 115.98, 115.98, 90.00 degrees
Sites, in units of the cell vectors:
Nd1 0.970 0.470 0.280
Nd2 0.470 0.310 0.280
Nd3 0.810 0.970 0.280
Nd4 0.530 0.690 0.720
Nd5 0.190 0.030 0.720
Nd6 0.500 0.500 0.000
Pt1 0.250 0.250 0.500
Ir1 0.370 0.870 0.000
Nd7 0.310 0.810 0.280
Ir2 0.130 0.370 0.000
Nd8 0.000 0.000 0.000
Ir3 0.630 0.130 0.000
Nd9 0.030 0.530 0.720
Nd10 0.690 0.190 0.720
Pt2 0.750 0.750 0.500
Ir4 0.870 0.630 0.000

No. 17
Below is a geometry-optimized SrOs2 structure, with properties calculated at the GGA-PBE level.

Properties
**E_form**: 0.352 eV per atom
**DOS(E_F)**: 0.757 states/eV/atom

Cell lengths 4.157, 4.157, 4.996 Å; angles 90.00, 90.00, 120.00 degrees
Sites, in units of the cell vectors:
Os1 0.667 0.333 0.498
Sr1 0.000 0.000 0.000
Os2 0.333 0.667 0.502

No. 18
Below is a geometry-optimized Sr3SiPd3 structure, with properties calculated at the GGA-PBE level.

Properties
**Formation energy from raw total energies**: -4.6 eV/f.u.
**DOS(E_F)**: 0.496 states/eV/atom

Cell lengths 4.383, 6.144, 14.714 Å; angles 85.22, 81.43, 69.10 degrees
Sites, in units of the cell vectors:
Sr1 0.398 0.280 0.924
Pd1 0.197 0.145 0.461
Pd2 0.108 0.863 0.922
Si1 0.236 0.921 0.608
Sr2 0.743 0.742 0.772
Pd3 0.939 0.874 0.247
Sr3 0.483 0.648 0.385
Sr4 0.517 0.352 0.615
Sr5 0.602 0.720 0.076
Sr6 0.257 0.258 0.228
Si2 0.764 0.079 0.392
Pd4 0.061 0.126 0.753
Pd5 0.892 0.137 0.078
Pd6 0.803 0.855 0.539

No. 19
Below is a geometry-optimized InHgSe3 structure, with properties calculated at the GGA-PBE level.

Properties
**Formation energy from raw total energies**: -1.1 eV/f.u.
**DOS(E_F)**: 0.226 states/eV/atom
**Excess energy over the best structure of this formula in the dataset**: 0 meV/atom

Cell lengths 4.210, 6.407, 11.488 Å; angles 106.58, 90.00, 90.00 degrees
Sites, in units of the cell vectors:
Hg1 0.250 0.239 0.657
Se1 0.750 0.502 0.650
Se2 0.250 0.731 0.972
Se3 0.250 0.048 0.347
Se4 0.250 0.498 0.350
Se5 0.750 0.952 0.653
Se6 0.750 0.269 0.028
Hg2 0.750 0.761 0.343
In1 0.750 0.850 0.866
In2 0.250 0.150 0.134

No. 20
Below is a geometry-optimized Ca2BeSnO5 structure, with properties calculated at the GGA-PBE level.

Properties
**Formation energy from raw total energies**: -22.0 eV/f.u.
**DOS(E_F)**: 0.000 states/eV/atom

Cell lengths 3.169, 6.880, 10.380 Å; angles 90.00, 90.00, 103.31 degrees
Sites, in units of the cell vectors:
O1 0.649 0.298 0.512
Sn1 0.200 0.400 0.037
O2 0.684 0.368 0.902
Be1 0.558 0.116 0.916
O3 0.045 0.090 0.000
O4 0.500 0.000 0.286
Ca1 0.873 0.746 0.838
O5 0.955 0.910 0.500
Sn2 0.800 0.600 0.537
O6 0.500 0.000 0.786
O7 0.707 0.414 0.173
Ca2 0.127 0.254 0.338
O8 0.351 0.702 0.012
O9 0.293 0.586 0.673
O10 0.316 0.632 0.402
Ca3 0.915 0.829 0.161
Ca4 0.085 0.171 0.661
Be2 0.442 0.884 0.416